Compound: ScTe2RhI
Source: Alexandria via LeMat-Bulk
Functional: meta-GGA SCAN
Structure: PBEsol geometry

Unit cell a=5.1674 b=5.1674 c=5.1784 alpha=90.00 beta=90.00 gamma=90.00
Closest atoms and distances in Å follow each position.
Positions (direct):
Sc 0.0000 0.0000 0.0000  4 I 3.65, 8 Te 3.66
Te 0.0000 0.5000 0.5000  2 Rh 2.58
Te 0.5000 0.0000 0.5000  2 Rh 2.58
Rh 0.5000 0.5000 0.5000  4 Te 2.58, 2 I 2.59
I 0.5000 0.5000 0.0000  2 Rh 2.59

Calculated values
The calculation puts the final energy at -31.874 eV/atom.